## Ac2PuPbO6 (PBE)

Data for Ac2PuPbO6 after structural relaxation.

Unit cell a=5.905 b=5.689 c=5.689 alpha=90.00 beta=90.00 gamma=90.00
Sites, in units of the cell vectors:
O1 0.206 0.000 0.000
O2 0.747 0.761 0.239
O3 0.134 0.500 0.500
O4 0.747 0.239 0.239
O5 0.747 0.761 0.761
O6 0.747 0.239 0.761
Ac1 0.998 0.500 0.000
Ac2 0.998 0.000 0.500
Pb1 0.543 0.500 0.500
Pu1 0.579 0.000 0.000

Results
Calculated total energy (eV/atom): -8.150
Density (g cm⁻³): 8.70
Total magnetic moment (μB per atom): 0.400
Uncorrected formation energy (eV/atom): -2.55
Symmetry: No. 99

=====

## NaSeS (PBE)

Data for NaSeS after structural relaxation.

Unit cell a=4.294 b=4.411 c=4.411 alpha=120.00 beta=90.00 gamma=90.00
Sites, in units of the cell vectors:
S1 0.564 0.333 0.667
Se1 0.452 0.667 0.333
Na1 0.984 0.000 0.000

Results
Calculated total energy (eV/atom): -3.155
Density (g cm⁻³): 3.08
Energy above the lowest structure with this stoichiometry (meV/atom): 282
Total magnetic moment (μB per atom): 0.000
Uncorrected formation energy (eV/atom): -0.18
Symmetry: No. 156

=====

## HgTe3 (PBE)

Data for HgTe3 after structural relaxation.

Unit cell a=4.608 b=6.197 c=8.780 alpha=90.00 beta=90.00 gamma=90.00
Sites, in units of the cell vectors:
Te1 0.000 0.752 0.114
Te2 0.500 0.252 0.886
Te3 0.000 0.500 0.654
Te4 0.500 0.748 0.886
Te5 0.500 0.000 0.346
Te6 0.000 0.248 0.114
Hg1 0.500 0.500 0.409
Hg2 0.000 0.000 0.591

Results
Calculated total energy (eV/atom): -2.324
Density (g cm⁻³): 7.73
Total magnetic moment (μB per atom): 0.000
Uncorrected formation energy (eV/atom): 0.11
Symmetry: No. 59

=====

## RbZrReW2 (PBE)

Data for RbZrReW2 after structural relaxation.

Unit cell a=4.912 b=5.249 c=4.912 alpha=90.00 beta=90.00 gamma=90.00
Sites, in units of the cell vectors:
Rb1 0.500 0.500 0.500
W1 0.000 0.000 0.500
W2 0.500 0.000 0.000
Re1 0.000 0.000 0.000
Zr1 0.000 0.500 0.000

Results
Calculated total energy (eV/atom): -7.930
Density (g cm⁻³): 9.58
Energy of formation from the pure elements (eV per atom): 1.6440
Total magnetic moment (μB per atom): 0.000
Symmetry: No. 123

=====

## AlTlCo2 (PBE)

Data for AlTlCo2 after structural relaxation.

Unit cell a=2.942 b=2.942 c=6.480 alpha=90.00 beta=90.00 gamma=90.00
Sites, in units of the cell vectors:
Tl1 0.500 0.500 0.250
Al1 0.500 0.500 0.750
Co1 0.000 0.000 0.538
Co2 0.000 0.000 0.962

Results
Calculated total energy (eV/atom): -5.004
Density (g cm⁻³): 10.34
Energy of formation from the pure elements (eV per atom): 0.0765
Energy above the lowest structure with this stoichiometry (meV/atom): 0
Total magnetic moment (μB per atom): 0.000
Symmetry: No. 123

=====

## YFeTc2 (PBE)

Data for YFeTc2 after structural relaxation.

Unit cell a=5.545 b=5.545 c=5.545 alpha=149.20 beta=130.70 gamma=59.27
Sites, in units of the cell vectors:
Tc1 0.535 0.535 0.000
Tc2 0.965 0.965 0.000
Fe1 0.750 0.250 0.500
Y1 0.250 0.750 0.500

Results
Calculated total energy (eV/atom): -8.646
Density (g cm⁻³): 8.62
Energy of formation from the pure elements (eV per atom): 0.2690
Energy above the lowest structure with this stoichiometry (meV/atom): 124
Total magnetic moment (μB per atom): 0.352
Symmetry: No. 71

=====

## Tl3InCl4 (PBE)

Data for Tl3InCl4 after structural relaxation.

Unit cell a=7.949 b=7.952 c=9.175 alpha=90.00 beta=90.00 gamma=109.44
Sites, in units of the cell vectors:
Cl1 0.499 0.250 0.375
Cl2 0.500 0.753 0.122
Cl3 0.999 0.250 0.625
Cl4 0.000 0.753 0.878
Cl5 0.501 0.750 0.625
Cl6 0.001 0.750 0.375
Cl7 0.000 0.247 0.122
Cl8 0.500 0.247 0.878
Tl1 0.250 0.500 0.373
Tl2 0.750 0.500 0.126
Tl3 0.250 0.000 0.626
Tl4 0.750 0.000 0.374
Tl5 0.250 0.500 0.874
Tl6 0.750 0.500 0.627
In1 0.250 0.000 0.125
In2 0.750 0.000 0.875

Results
Calculated total energy (eV/atom): -3.112
Density (g cm⁻³): 5.28
Total magnetic moment (μB per atom): 0.000
Uncorrected formation energy (eV/atom): -0.96
Symmetry: No. 13

=====

## TbPm12Y6 (PBE)

Data for TbPm12Y6 after structural relaxation.

Unit cell a=8.958 b=8.958 c=8.958 alpha=98.16 beta=98.16 gamma=98.16
Sites, in units of the cell vectors:
Tb1 0.000 0.000 0.000
Pm1 0.532 0.532 0.817
Pm2 0.118 0.882 0.500
Pm3 0.817 0.532 0.532
Pm4 0.468 0.468 0.183
Pm5 0.882 0.500 0.118
Pm6 0.183 0.468 0.468
Pm7 0.500 0.118 0.882
Pm8 0.882 0.118 0.500
Pm9 0.468 0.183 0.468
Pm10 0.118 0.500 0.882
Pm11 0.532 0.817 0.532
Pm12 0.500 0.882 0.118
Y1 0.253 0.800 0.800
Y2 0.747 0.200 0.200
Y3 0.800 0.253 0.800
Y4 0.800 0.800 0.253
Y5 0.200 0.747 0.200
Y6 0.200 0.200 0.747

Results
Calculated total energy (eV/atom): -4.866
Density (g cm⁻³): 5.81
Energy of formation from the pure elements (eV per atom): 0.4195
Total magnetic moment (μB per atom): 0.000
Symmetry: No. 166

=====

## Ti2MnCu2 (PBE)

Data for Ti2MnCu2 after structural relaxation.

Unit cell a=6.847 b=6.847 c=3.151 alpha=90.00 beta=90.00 gamma=90.00
Sites, in units of the cell vectors:
Cu1 0.874 0.626 0.000
Cu2 0.626 0.126 0.000
Cu3 0.374 0.874 0.000
Cu4 0.126 0.374 0.000
Ti1 0.326 0.174 0.500
Ti2 0.826 0.326 0.500
Ti3 0.174 0.674 0.500
Ti4 0.674 0.826 0.500
Mn1 0.500 0.500 0.000
Mn2 0.000 0.000 0.000

Results
Calculated total energy (eV/atom): -6.555
Density (g cm⁻³): 6.24
Energy of formation from the pure elements (eV per atom): 0.0754
Total magnetic moment (μB per atom): 0.433
Symmetry: No. 127

=====

## ZrSiMo2 (PBE)

Data for ZrSiMo2 after structural relaxation.

Unit cell a=8.760 b=8.760 c=8.760 alpha=20.08 beta=20.08 gamma=20.08
Sites, in units of the cell vectors:
Mo1 0.993 0.993 0.993
Mo2 0.248 0.248 0.248
Si1 0.508 0.508 0.508
Zr1 0.751 0.751 0.751

Results
Calculated total energy (eV/atom): -8.799
Density (g cm⁻³): 7.45
Total magnetic moment (μB per atom): 0.000
Uncorrected formation energy (eV/atom): 0.11
Symmetry: No. 160

=====

## VPdS2N (PBE)

Data for VPdS2N after structural relaxation.

Unit cell a=4.687 b=4.687 c=3.587 alpha=90.00 beta=90.00 gamma=90.00
Sites, in units of the cell vectors:
V1 0.000 0.000 0.000
Pd1 0.500 0.500 0.500
S1 0.000 0.500 0.000
S2 0.500 0.000 0.000
N1 0.000 0.000 0.500

Results
Calculated total energy (eV/atom): -5.973
Density (g cm⁻³): 4.96
Energy above the lowest structure with this stoichiometry (meV/atom): 0
Total magnetic moment (μB per atom): 0.000
Uncorrected formation energy (eV/atom): 0.21
Symmetry: No. 123

=====

## MnReAu (PBE)

Data for MnReAu after structural relaxation.

Unit cell a=6.954 b=6.780 c=2.726 alpha=82.16 beta=74.98 gamma=22.85
Sites, in units of the cell vectors:
Au1 0.994 0.994 0.006
Re1 0.680 0.680 0.320
Mn1 0.325 0.325 0.675

Results
Calculated total energy (eV/atom): -7.995
Density (g cm⁻³): 15.69
Energy of formation from the pure elements (eV per atom): 0.3037
Energy above the lowest structure with this stoichiometry (meV/atom): 10
Total magnetic moment (μB per atom): 0.910
Symmetry: No. 42

=====

Which V belongs to each record? In order, 19.11; 24.12; 31.34; 25.32; 14.02; 16.42; 34.18; 36.56; 14.77; 17.34; 15.76; 15.46 Å³/atom.